5
Lattice="2.8283 0.0000 0.0000 0.0000 3.8456 0.0000 0.0000 0.0000 8.4638" Properties=species:S:1:pos:R:3 comment="TcSnIrOsS (GGA-PBE, relaxed)" sg=Pmm2 e_form_raw_mev_per_atom=66 total_energy_ev_per_cell=-38.3 relative_energy_mev_per_atom=0 dos_at_fermi_per_ev_cell=2.88 m_tot_mub_per_atom=0.000 pbc="T T T"
Tc 0.0000 0.0000 0.0000
Sn 0.0000 0.0000 2.9496
Ir 1.4142 1.9228 1.3782
Os 1.4142 1.9228 7.1888
S 0.0000 1.9228 5.4132